Below is CoIr3F after structural relaxation, with properties calculated at the GGA+U level.

POSCAR file:
```
CoIr3F
1.0
4.493 0.000 0.000
0.000 4.493 0.000
0.000 0.000 4.493
Co Ir F
1 3 1
direct
0.000 0.000 0.000
0.000 0.000 0.500
0.000 0.500 0.000
0.500 0.000 0.000
0.500 0.500 0.500
```

Computed properties:
Its crystal system is cubic. Its offset from the most stable computed form is 0.272 eV per atom. The symmetry is No. 221.

Below is CoIrF3 after structural relaxation, with properties calculated at the GGA+U level.

POSCAR file:
```
CoIrF3
1.0
4.040 0.000 0.000
0.000 4.040 0.000
0.000 0.000 4.040
Co Ir F
1 1 3
direct
0.000 0.000 0.000
0.500 0.500 0.500
0.000 0.000 0.500
0.000 0.500 0.000
0.500 0.000 0.000
```

Computed properties:
Its crystal system is cubic. Its offset from the most stable computed form is 0.000 eV per atom. The symmetry is No. 221.

Below is CoIrF3 after structural relaxation, with properties calculated at the GGA+U level.

POSCAR file:
```
CoIrF3
1.0
4.241 0.000 0.000
0.000 4.241 0.000
0.000 0.000 4.241
Co Ir F
1 1 3
direct
0.000 0.000 0.000
0.500 0.500 0.500
0.000 0.500 0.500
0.500 0.000 0.500
0.500 0.500 0.000
```

Computed properties:
Its crystal system is cubic. Its offset from the most stable computed form is 0.135 eV per atom. The symmetry is No. 221.

Below is CoIrF2 after structural relaxation, with properties calculated at the GGA+U level.

POSCAR file:
```
CoIrF2
1.0
0.000 2.944 2.944
2.944 0.000 2.944
2.944 2.944 0.000
Co Ir F
1 1 2
direct
0.000 0.000 0.000
0.500 0.500 0.500
0.250 0.250 0.250
0.750 0.750 0.750
```

Computed properties:
Its crystal system is cubic. Its offset from the most stable computed form is 0.945 eV per atom. The symmetry is No. 225.

Below is CoIrF2 after structural relaxation, with properties calculated at the GGA+U level.

POSCAR file:
```
CoIrF2
1.0
1.339 0.773 9.052
-1.339 0.773 9.052
0.000 -1.546 9.052
Co Ir F
1 1 2
direct
0.000 0.000 0.000
0.500 0.500 0.500
0.064 0.064 0.064
0.936 0.936 0.936
```

Computed properties:
Its crystal system is trigonal. Its offset from the most stable computed form is 0.294 eV per atom. The symmetry is No. 166.

Below is CoIr3F after structural relaxation, with properties calculated at the GGA+U level.

POSCAR file:
```
CoIr3F
1.0
4.231 0.000 0.000
0.000 4.231 0.000
0.000 0.000 4.231
Co Ir F
1 3 1
direct
0.000 0.000 0.000
0.000 0.500 0.500
0.500 0.000 0.500
0.500 0.500 0.000
0.500 0.500 0.500
```

Computed properties:
Its crystal system is cubic. Its offset from the most stable computed form is 0.000 eV per atom. The symmetry is No. 221.

Below is Co3IrF after structural relaxation, with properties calculated at the GGA+U level.

POSCAR file:
```
Co3IrF
1.0
4.771 0.000 0.000
0.000 4.771 0.000
0.000 0.000 4.771
Co Ir F
3 1 1
direct
0.000 0.000 0.500
0.000 0.500 0.000
0.500 0.000 0.000
0.000 0.000 0.000
0.500 0.500 0.500
```

Computed properties:
Its crystal system is cubic. Its offset from the most stable computed form is 0.734 eV per atom. The symmetry is No. 221.

Below is CoIrF2 after structural relaxation, with properties calculated at the GGA+U level.

POSCAR file:
```
CoIrF2
1.0
-2.688 2.688 4.363
2.688 -2.688 4.363
2.688 2.688 -4.363
Co Ir F
2 2 4
direct
0.000 0.000 0.000
0.750 0.250 0.500
0.250 0.750 0.500
0.500 0.500 0.000
0.037 0.625 0.912
0.375 0.287 0.412
0.713 0.125 0.088
0.875 0.963 0.588
```

Computed properties:
Its crystal system is tetragonal. Its offset from the most stable computed form is 0.691 eV per atom. The symmetry is No. 122.

Below is Co2IrF2 after structural relaxation, with properties calculated at the GGA+U level.

POSCAR file:
```
Co2IrF2
1.0
3.694 0.000 0.000
0.000 3.694 0.000
0.000 0.000 6.277
Co Ir F
2 1 2
direct
0.000 0.000 0.000
0.000 0.000 0.500
0.500 0.500 0.000
0.000 0.500 0.500
0.500 0.000 0.500
```

Computed properties:
Its crystal system is tetragonal. The symmetry is No. 123. The total energy comes out at -23.5 eV per cell.

Below is Co3IrF after structural relaxation, with properties calculated at the GGA+U level.

POSCAR file:
```
Co3IrF
1.0
4.026 0.000 0.000
0.000 4.026 0.000
0.000 0.000 4.026
Co Ir F
3 1 1
direct
0.000 0.000 0.500
0.000 0.500 0.000
0.500 0.000 0.000
0.500 0.500 0.500
0.000 0.000 0.000
```

Computed properties:
Its crystal system is cubic. Its offset from the most stable computed form is 0.000 eV per atom. The symmetry is No. 221.

Below is Co2IrF8 after structural relaxation, with properties calculated at the GGA+U level.

POSCAR file:
```
Co2IrF8
1.0
6.430 0.000 0.000
-3.215 5.568 0.000
0.000 0.000 4.018
Co Ir F
2 1 8
direct
0.333 0.667 0.192
0.667 0.333 0.808
0.000 0.000 0.000
0.153 0.306 0.248
0.153 0.847 0.248
0.306 0.153 0.752
0.333 0.667 0.707
0.667 0.333 0.293
0.694 0.847 0.248
0.847 0.153 0.752
0.847 0.694 0.752
```

Computed properties:
Its crystal system is trigonal. The symmetry is No. 164. The total energy comes out at -52.5 eV per cell.

Below is CoIrOF2 after structural relaxation, with properties calculated at the GGA+U level.

POSCAR file:
```
CoIrOF2
1.0
3.987 0.000 0.000
0.000 3.987 0.000
0.000 0.000 3.844
Co Ir O F
1 1 1 2
direct
0.000 0.000 0.000
0.500 0.500 0.500
0.000 0.000 0.500
0.000 0.500 0.000
0.500 0.000 0.000
```

Computed properties:
Its crystal system is tetragonal. Its offset from the most stable computed form is 0.194 eV per atom. The symmetry is No. 123.

Below is CoIrOF2 after structural relaxation, with properties calculated at the GGA+U level.

POSCAR file:
```
CoIrOF2
1.0
4.439 0.000 0.000
0.000 4.439 0.000
0.000 0.000 3.714
Co Ir O F
1 1 1 2
direct
0.000 0.000 0.000
0.500 0.500 0.500
0.500 0.500 0.000
0.000 0.500 0.500
0.500 0.000 0.500
```

Computed properties:
Its crystal system is tetragonal. Its offset from the most stable computed form is 0.000 eV per atom. The symmetry is No. 123.

Below is CoIrO2F after structural relaxation, with properties calculated at the GGA+U level.

POSCAR file:
```
CoIrO2F
1.0
3.816 0.000 0.000
0.000 3.816 0.000
0.000 0.000 3.902
Co Ir O F
1 1 2 1
direct
0.000 0.000 0.000
0.500 0.500 0.500
0.000 0.500 0.000
0.500 0.000 0.000
0.000 0.000 0.500
```

Computed properties:
Its crystal system is tetragonal. The symmetry is No. 123. The total energy comes out at -25.0 eV per cell.

Below is CoIrO2F after structural relaxation, with properties calculated at the GGA+U level.

POSCAR file:
```
CoIrO2F
1.0
3.669 0.000 0.000
0.000 3.669 0.000
0.000 0.000 6.056
Co Ir O F
1 1 2 1
direct
0.000 0.000 0.000
0.500 0.500 0.500
0.000 0.500 0.500
0.500 0.000 0.500
0.500 0.500 0.000
```

Computed properties:
Its crystal system is tetragonal. The symmetry is No. 123. The total energy comes out at -27.4 eV per cell.

Below is RbCoIrF6 after structural relaxation, with properties calculated at the GGA+U level.

POSCAR file:
```
RbCoIrF6
1.0
2.750 -4.757 0.000
2.750 4.757 0.000
-0.012 0.000 6.112
Rb Co Ir F
1 1 1 6
direct
0.000 0.000 0.000
0.333 0.667 0.500
0.667 0.333 0.500
0.362 0.357 0.325
0.364 0.006 0.675
0.642 0.005 0.325
0.643 0.638 0.675
0.994 0.636 0.325
0.995 0.358 0.675
```

Computed properties:
Its crystal system is monoclinic. The symmetry is No. 5. The total energy comes out at -43.7 eV per cell.

Below is Rb2CoIrF6 after structural relaxation, with properties calculated at the GGA+U level.

POSCAR file:
```
Rb2CoIrF6
1.0
-3.023 3.023 4.269
3.023 -3.023 4.269
3.023 3.023 -4.269
Rb Co Ir F
2 1 1 6
direct
0.250 0.750 0.500
0.750 0.250 0.500
0.000 0.000 0.000
0.500 0.500 0.000
0.237 0.237 0.474
0.237 0.763 0.000
0.258 0.258 0.000
0.742 0.742 0.000
0.763 0.237 0.000
0.763 0.763 0.526
```

Computed properties:
Its crystal system is tetragonal. The symmetry is No. 139. The total energy comes out at -46.2 eV per cell.

Below is CoRe2IrF after structural relaxation, with properties calculated at the GGA+U level.

POSCAR file:
```
CoRe2IrF
1.0
4.446 0.000 0.000
0.000 4.446 0.000
0.000 0.000 4.434
Co Re Ir F
1 2 1 1
direct
0.000 0.000 0.000
0.000 0.500 0.000
0.500 0.000 0.000
0.000 0.000 0.500
0.500 0.500 0.500
```

Computed properties:
Its crystal system is tetragonal. The symmetry is No. 123. The total energy comes out at -30.9 eV per cell.

Below is SrCoIrF2 after structural relaxation, with properties calculated at the GGA+U level.

POSCAR file:
```
SrCoIrF2
1.0
4.332 0.000 0.000
0.000 4.332 0.000
0.000 0.000 7.855
Sr Co Ir F
1 1 1 2
direct
0.000 0.000 0.000
0.000 0.000 0.500
0.500 0.500 0.500
0.000 0.500 0.000
0.500 0.000 0.000
```

Computed properties:
Its crystal system is tetragonal. The symmetry is No. 123. The total energy comes out at -22.3 eV per cell.

Below is TlCoIrF2 after structural relaxation, with properties calculated at the GGA+U level.

POSCAR file:
```
TlCoIrF2
1.0
3.881 0.000 0.000
0.000 3.881 0.000
0.000 0.000 5.512
Tl Co Ir F
1 1 1 2
direct
0.000 0.000 0.000
0.500 0.500 0.500
0.500 0.500 0.000
0.000 0.500 0.500
0.500 0.000 0.500
```

Computed properties:
Its crystal system is tetragonal. The symmetry is No. 123. The total energy comes out at -23.2 eV per cell.